Material: HfTi2Ir
Method: DFT, GGA-PBE
State: relaxed

Calculated values
formation energy	-1.61	eV per formula unit
calculated total energy	-9.0542	eV per atom
size of the total moment	1.42	μB/cell
excess energy over the best structure of this formula in the dataset	3.38	kcal/mol of atoms
symmetry	P4/mmm (123)

Cell and atoms, written as POSCAR:
```
HfTi2Ir
1.0
3.858 0.000 0.000
0.000 3.858 0.000
0.000 0.000 4.656
Hf Ti Ir
1 2 1
direct
0.000 0.000 0.000 Hf
0.000 0.500 0.500 Ti
0.500 0.000 0.500 Ti
0.500 0.500 0.000 Ir
```

---

Material: Hf2TiIr
Method: DFT, GGA-PBE
State: relaxed

Calculated values
formation energy	-1.92	eV per formula unit
calculated total energy	-9.6463	eV per atom
size of the total moment	0.00	μB/cell
symmetry	P4/mmm (123)

Cell and atoms, written as POSCAR:
```
Hf2TiIr
1.0
3.299 0.000 0.000
0.000 3.299 0.000
0.000 0.000 6.820
Hf Ti Ir
2 1 1
direct
0.000 0.000 0.235 Hf
0.000 0.000 0.765 Hf
0.500 0.500 0.500 Ti
0.500 0.500 0.000 Ir
```

---

Material: Hf2TiIr2
Method: DFT, GGA-PBE
State: relaxed

Calculated values
formation energy	-3.63	eV per formula unit
calculated total energy	-9.8316	eV per atom
size of the total moment	0.00	μB/cell
symmetry	P4/mbm (127)

Cell and atoms, written as POSCAR:
```
Hf2TiIr2
1.0
6.562 0.000 0.000
0.000 6.562 0.000
0.000 0.000 4.289
Hf Ti Ir
4 2 4
direct
0.175 0.325 0.000 Hf
0.325 0.825 0.000 Hf
0.675 0.175 0.000 Hf
0.825 0.675 0.000 Hf
0.000 0.000 0.500 Ti
0.500 0.500 0.500 Ti
0.142 0.642 0.500 Ir
0.358 0.142 0.500 Ir
0.642 0.858 0.500 Ir
0.858 0.358 0.500 Ir
```

---

Material: Hf2TiIr
Method: DFT, GGA-PBE
State: relaxed

Calculated values
formation energy	-0.24	eV per formula unit
calculated total energy	-9.2265	eV per atom
size of the total moment	0.00	μB/cell
symmetry	I4/mmm (139)

Cell and atoms, written as POSCAR:
```
Hf2TiIr
1.0
-1.732 1.732 7.222
1.732 -1.732 7.222
1.732 1.732 -7.222
Hf Ti Ir
2 1 1
direct
0.184 0.184 0.000 Hf
0.816 0.816 0.000 Hf
0.500 0.500 0.000 Ti
0.000 0.000 0.000 Ir
```